A relaxed Ba3Mn2BiO9 crystal, computed with GGA+U.

Cell: 5.8295 5.8295 7.1596 Å, 90.00 90.00 120.00°
Last column: nearest neighbours and their distance in Å.
Sites, in units of the cell vectors:
Ba  0.3333  0.6667  0.6774  12 O 2.86-3.00
Ba  0.0000  0.0000  0.0000  12 O 2.91
Ba  0.6667  0.3333  0.3226  12 O 2.86-3.00
Mn  0.3333  0.6667  0.1551  6 O 2.02
Mn  0.6667  0.3333  0.8449  6 O 2.02
Bi  0.0000  0.0000  0.5000  6 O 2.15
O  0.8269  0.1731  0.6754  1 Mn 2.02, 1 Bi 2.15
O  0.8269  0.6538  0.6754  1 Mn 2.02, 1 Bi 2.15
O  0.3462  0.1731  0.6754  1 Mn 2.02, 1 Bi 2.15
O  0.6538  0.8269  0.3246  1 Mn 2.02, 1 Bi 2.15
O  0.1731  0.3462  0.3246  1 Mn 2.02, 1 Bi 2.15
O  0.1731  0.8269  0.3246  1 Mn 2.02, 1 Bi 2.15
O  0.5000  0.0000  0.0000  2 Mn 2.02
O  0.0000  0.5000  0.0000  2 Mn 2.02
O  0.5000  0.5000  0.0000  2 Mn 2.02

Calculated values
Spin magnetization (μB per formula unit): 7.0
Electronic total energy (eV per atom): -6.51